[1]
Ho4ZrCd5, relaxed, DFT GGA-PBE; crystal system = tetragonal; total energy = -3.40 eV/atom
1.0
3.699 0.000 0.000
0.000 3.699 0.000
0.000 0.000 18.294
Ho Zr Cd
4 1 5
Cartesian
0.000 0.000 1.889 Ho
0.000 0.000 5.640 Ho
0.000 0.000 12.654 Ho
0.000 0.000 16.405 Ho
0.000 0.000 9.147 Zr
1.849 1.849 0.000 Cd
1.849 1.849 3.771 Cd
1.849 1.849 7.503 Cd
1.849 1.849 10.791 Cd
1.849 1.849 14.523 Cd

[2]
HoZrCd2, relaxed, DFT GGA-PBE; crystal system = tetragonal; offset from the most stable computed form = 0.000 eV per formula unit; total energy = -3.90 eV/atom
1.0
3.630 0.000 0.000
0.000 3.630 0.000
0.000 0.000 7.205
Ho Zr Cd
1 1 2
Cartesian
0.000 0.000 0.000 Ho
0.000 0.000 3.603 Zr
1.815 1.815 1.914 Cd
1.815 1.815 5.291 Cd

[3]
Ho5ZrCd6, relaxed, DFT GGA-PBE; crystal system = orthorhombic; total energy = -3.33 eV/atom
1.0
2.605 -7.831 0.000
2.605 7.831 0.000
0.000 0.000 7.399
Ho Zr Cd
5 1 6
Cartesian
0.000 0.000 0.000 Ho
2.605 2.643 0.000 Ho
2.605 2.574 3.700 Ho
2.605 -2.574 3.700 Ho
2.605 -2.643 0.000 Ho
0.000 0.000 3.700 Zr
2.605 5.264 1.890 Cd
2.605 5.264 5.509 Cd
2.605 0.000 1.875 Cd
2.605 0.000 5.525 Cd
2.605 -5.264 1.890 Cd
2.605 -5.264 5.509 Cd

[4]
Ho2ZrCd, relaxed, DFT GGA-PBE; crystal system = cubic; offset from the most stable computed form = 0.714 eV per formula unit; total energy = -4.61 eV/atom
1.0
0.000 3.744 3.744
3.744 0.000 3.744
3.744 3.744 0.000
Ho Zr Cd
2 1 1
Cartesian
1.872 1.872 1.872 Ho
5.616 5.616 5.616 Ho
0.000 0.000 0.000 Zr
3.744 3.744 3.744 Cd

[5]
Ho2ZrCd, relaxed, DFT GGA-PBE; crystal system = trigonal; offset from the most stable computed form = 0.482 eV per formula unit; total energy = -4.67 eV/atom
1.0
1.697 0.980 10.710
-1.697 0.980 10.710
0.000 -1.959 10.710
Ho Zr Cd
2 1 1
Cartesian
0.000 0.000 0.000 Ho
0.000 0.000 5.431 Ho
0.000 0.000 18.771 Zr
0.000 0.000 24.138 Cd

[6]
HoZrCd, relaxed, DFT GGA-PBE; crystal system = tetragonal; offset from the most stable computed form = 0.123 eV per formula unit; total energy = -4.77 eV/atom
1.0
3.327 0.000 0.000
0.000 3.327 0.000
0.000 0.000 13.467
Ho Zr Cd
2 2 2
Cartesian
0.832 0.832 3.293 Ho
2.496 2.496 10.174 Ho
0.832 0.832 7.814 Zr
2.496 2.496 5.653 Zr
0.832 0.832 12.472 Cd
2.496 2.496 0.995 Cd

Q: What is the formula in the fifth record?
A: Ho2ZrCd

Q: Among the records above, which one has the highest total energy?
A: Ho5ZrCd6

Q: total energy of number 4 (Ho2ZrCd)?
A: -4.61 eV/atom

Q: Which formula does entry 3 have?
A: Ho5ZrCd6